# 1
The following is a PBE calculation of a relaxed Tb5Nd3Tm2 crystal, from Alexandria via LeMat-Bulk.

The crystal system is monoclinic. The value obtained for the energy of formation from the pure elements is 191 meV per atom. The energy above the lowest structure with this stoichiometry is 0.0 kJ per mole of atoms.

Structure (POSCAR):
```
Tb5Nd3Tm2
1.0
1.489 -7.711 -5.341
9.120 -2.462 0.144
-6.658 0.443 8.924
Tm Tb Nd
4 10 6
Cartesian
2.408 -5.025 4.171
1.543 -4.704 -0.443
7.598 -4.095 1.299
-3.647 -5.633 2.429
-0.921 -6.365 4.710
-0.389 -4.541 2.225
2.021 -2.038 1.708
-3.144 -2.882 4.464
4.341 -5.188 1.502
3.437 -1.879 4.916
4.872 -3.364 -0.983
0.514 -7.850 -1.189
7.095 -6.847 -0.736
1.930 -7.691 2.020
0.215 -3.020 5.332
1.073 -5.933 -3.801
2.878 -3.796 7.529
-1.496 -7.786 1.468
5.448 -1.943 2.260
3.736 -6.709 -1.605
```


# 2
The following is a PBE calculation of a relaxed PuNpNbN3 crystal, from Alexandria via LeMat-Bulk.

The crystal system is monoclinic. The value obtained for the uncorrected formation energy is -0.833 eV/atom.

Structure (POSCAR):
```
PuNpNbN3
1.0
-1.453 -2.554 1.396
6.180 -1.832 3.081
-1.759 4.491 6.385
Nb N Np Pu
2 6 2 2
Cartesian
-0.471 1.647 4.418
3.439 -1.542 6.444
1.834 2.265 7.949
3.928 -2.801 4.650
3.793 0.522 6.798
-0.960 2.906 6.212
-0.824 -0.417 4.064
1.134 -2.160 2.913
-0.174 1.140 7.589
3.143 -1.035 3.273
0.109 -0.122 1.786
2.860 0.227 9.076
```


# 3
The following is a PBE calculation of a relaxed Tb3YCo crystal, from Alexandria via LeMat-Bulk.

The crystal system is cubic. The value obtained for the energy of formation from the pure elements is 13 meV per atom. The energy above the lowest structure with this stoichiometry is 11.0 kJ per mole of atoms.

Structure (POSCAR):
```
Tb3YCo
1.0
-0.350 3.334 -4.100
-0.022 -4.110 -3.340
-5.285 -0.203 0.285
Tb Co Y
3 1 1
Cartesian
-0.175 1.667 -2.050
-0.011 -2.055 -1.670
-2.642 -0.102 0.143
0.000 0.000 0.000
-2.828 -0.490 -3.578
```


# 4
The following is a PBE calculation of a relaxed Pm2BeGa3Rh4 crystal, from Alexandria via LeMat-Bulk.

The crystal system is tetragonal. The value obtained for the energy of formation from the pure elements is -731 meV per atom.

Structure (POSCAR):
```
Pm2BeGa3Rh4
1.0
4.272 0.000 0.000
0.000 4.272 0.000
0.000 0.000 9.814
Ga Rh Pm Be
3 4 2 1
Cartesian
0.000 2.136 1.304
2.136 0.000 8.510
0.000 0.000 4.907
0.000 2.136 3.793
2.136 2.136 0.000
2.136 0.000 6.022
0.000 0.000 0.000
2.136 0.000 2.403
0.000 2.136 7.412
2.136 2.136 4.907
```


# 5
The following is a PBE calculation of a relaxed Dy7ScTl2 crystal, from Alexandria via LeMat-Bulk.

The crystal system is orthorhombic. The value obtained for the energy of formation from the pure elements is 379 meV per atom.

Structure (POSCAR):
```
Dy7ScTl2
1.0
5.137 0.000 0.000
0.000 9.072 -0.257
0.000 -4.233 8.028
Sc Dy Tl
1 7 2
Cartesian
0.000 0.000 0.000
0.000 6.159 1.557
2.568 2.421 0.450
2.568 2.419 3.885
0.000 -1.320 6.214
2.568 2.418 7.320
2.568 5.503 5.399
2.568 -0.664 2.372
2.568 -0.143 5.481
2.568 4.982 2.289
```


# 6
The following is a PBE calculation of a relaxed TcOsPd2 crystal, from Alexandria via LeMat-Bulk.

The crystal system is tetragonal. The value obtained for the energy of formation from the pure elements is 1682 meV per atom. The energy above the lowest structure with this stoichiometry is 103.6 kJ per mole of atoms.

Structure (POSCAR):
```
TcOsPd2
1.0
5.588 0.000 0.000
0.000 5.588 0.000
2.794 2.794 5.594
Pd Os Tc
4 2 2
Cartesian
4.191 1.397 1.398
4.191 4.191 4.195
6.985 6.985 4.195
1.397 4.191 1.398
5.588 2.794 2.797
0.000 0.000 0.000
2.794 2.794 0.000
2.794 5.588 2.797
```